Entry 1:
The following is a PBE-GGA calculation of Pr4RuSeBr2 after structural relaxation, from the Alexandria database.

Cell lengths 7.672, 4.126, 7.885 Å; angles 90.00, 106.45, 90.00 degrees
Element x y z (fractional)
Pr 0.212 0.000 0.201
Pr 0.246 0.500 0.795
Pr 0.754 0.500 0.205
Pr 0.788 0.000 0.799
Ru 0.000 0.500 0.000
Se 0.500 0.000 0.000
Br 0.000 0.000 0.500
Br 0.500 0.500 0.500

Computed properties:
formation energy without anion corrections	-1.145	eV per atom
symmetry	P2/m
electronic total energy	-44.383	eV per cell
theoretical density	6.27	g/cm³

---

Entry 2:
The following is a PBE-GGA calculation of Pr6Ru2SeBr3 after structural relaxation, from the Alexandria database.

Cell lengths 7.326, 7.326, 8.118 Å; angles 98.64, 98.64, 119.97 degrees
Element x y z (fractional)
Pr 0.077 0.433 0.799
Pr 0.210 0.210 0.200
Pr 0.433 0.077 0.799
Pr 0.567 0.923 0.201
Pr 0.790 0.790 0.800
Pr 0.923 0.567 0.201
Ru 0.167 0.833 0.000
Ru 0.833 0.167 0.000
Se 0.500 0.500 0.000
Br 0.000 0.000 0.500
Br 0.336 0.664 0.500
Br 0.664 0.336 0.500

Computed properties:
formation energy without anion corrections	-1.051	eV per atom
symmetry	C2/m
electronic total energy	-68.338	eV per cell
theoretical density	6.30	g/cm³

---

Entry 3:
The following is a PBE-GGA calculation of Pr4RuSe2Br after structural relaxation, from the Alexandria database.

Cell lengths 7.495, 4.151, 7.569 Å; angles 90.00, 107.19, 90.00 degrees
Element x y z (fractional)
Pr 0.235 0.000 0.224
Pr 0.249 0.500 0.781
Pr 0.751 0.500 0.219
Pr 0.765 0.000 0.776
Ru 0.000 0.500 0.000
Se 0.500 0.000 0.000
Se 0.500 0.500 0.500
Br 0.000 0.000 0.500

Computed properties:
formation energy without anion corrections	-1.222	eV per atom
symmetry	P2/m
electronic total energy	-46.814	eV per cell
theoretical density	6.66	g/cm³

---

Entry 4:
The following is a PBE-GGA calculation of Pr8Ru3SeBr4 after structural relaxation, from the Alexandria database.

Cell lengths 9.173, 9.173, 9.173 Å; angles 54.79, 54.79, 54.79 degrees
Element x y z (fractional)
Pr 0.212 0.742 0.742
Pr 0.234 0.234 0.234
Pr 0.258 0.258 0.788
Pr 0.258 0.788 0.258
Pr 0.742 0.212 0.742
Pr 0.742 0.742 0.212
Pr 0.766 0.766 0.766
Pr 0.788 0.258 0.258
Ru 0.000 0.000 0.500
Ru 0.000 0.500 0.000
Ru 0.500 0.000 0.000
Se 0.500 0.500 0.500
Br 0.000 0.000 0.000
Br 0.000 0.500 0.500
Br 0.500 0.000 0.500
Br 0.500 0.500 0.000

Computed properties:
formation energy without anion corrections	-0.955	eV per atom
symmetry	R-3m
electronic total energy	-91.513	eV per cell
theoretical density	6.33	g/cm³